Entry 1:
ZrOs2 | GGA-PBE | optimized geometry

```
ZrOs2
1.0
3.0028 0.0000 0.0000
0.0000 14.7512 0.0000
0.0000 0.0000 4.5211
Zr Os
4 8
Cartesian
0.0000 1.3829 1.1303
0.0000 13.3683 3.3908
1.5014 5.9927 3.3908
1.5014 8.7585 1.1303
0.0000 3.3308 3.3908
0.0000 6.2462 1.1303
0.0000 8.5050 3.3908
0.0000 11.4204 1.1303
1.5014 1.1294 3.3908
1.5014 4.0448 1.1303
1.5014 10.7064 3.3908
1.5014 13.6218 1.1303
```

Computed properties:
ρ: 15.6 g/cm³
Space group: No. 63
ΔH_f (0 K): -0.04 eV/f.u.

=====

Entry 2:
Zr11Os4 | GGA-PBE | optimized geometry

```
Zr11Os4
1.0
0.0000 6.7538 6.7538
6.7538 0.0000 6.7538
6.7538 6.7538 0.0000
Zr Os
22 8
Cartesian
8.3287 5.1789 5.1789
2.2060 2.2060 2.2060
4.5478 4.5478 2.2060
4.5478 2.2060 4.5478
6.7538 6.7538 2.7098
6.7538 2.7098 6.7538
10.7977 6.7538 6.7538
5.1789 5.1789 5.1789
8.3287 8.3287 5.1789
8.3287 5.1789 8.3287
11.3016 8.9598 8.9598
2.2060 4.5478 4.5478
5.1789 8.3287 5.1789
5.1789 5.1789 8.3287
8.3287 8.3287 8.3287
2.7098 6.7538 6.7538
6.7538 10.7977 6.7538
6.7538 6.7538 10.7977
8.9598 11.3016 8.9598
8.9598 8.9598 11.3016
11.3016 11.3016 11.3016
5.1789 8.3287 8.3287
0.0000 0.0000 0.0000
3.3769 3.3769 0.0000
3.3769 0.0000 3.3769
6.7538 3.3769 3.3769
0.0000 3.3769 3.3769
3.3769 6.7538 3.3769
3.3769 3.3769 6.7538
6.7538 6.7538 6.7538
```

Computed properties:
ρ: 9.5 g/cm³
Space group: No. 225
ΔH_f (0 K): -4.36 eV/f.u.

=====

Entry 3:
Zr3Os | GGA-PBE | optimized geometry

```
Zr3Os
1.0
6.4516 0.0000 0.0000
0.0000 9.0431 0.0000
0.0000 0.0000 5.9510
Zr Os
12 4
Cartesian
0.1742 2.2608 0.8239
1.2557 0.4952 3.9174
1.2557 4.0263 3.9174
1.9701 5.0168 0.9419
1.9701 8.5479 0.9419
3.0515 6.7823 3.7994
3.4000 2.2608 2.1516
4.4815 0.4952 5.0090
4.4815 4.0263 5.0090
5.1959 5.0168 2.0336
5.1959 8.5479 2.0336
6.2773 6.7823 5.1271
0.7123 6.7823 2.5477
2.5135 2.2608 5.5232
3.9381 6.7823 0.4278
5.7393 2.2608 3.4032
```

Computed properties:
ρ: 8.9 g/cm³
Space group: No. 62
ΔH_f (0 K): -0.81 eV/f.u.

=====

Entry 4:
ZrOs3 | GGA-PBE | optimized geometry

```
ZrOs3
1.0
3.9763 0.0000 0.0000
0.0000 3.9763 0.0000
0.0000 0.0000 8.0607
Zr Os
2 6
Cartesian
0.0000 0.0000 0.0000
1.9881 1.9881 4.0304
0.0000 0.0000 4.0304
0.0000 1.9881 2.0152
0.0000 1.9881 6.0455
1.9881 0.0000 2.0152
1.9881 0.0000 6.0455
1.9881 1.9881 0.0000
```

Computed properties:
Energy above the most stable polymorph in this dataset: 3.302 kcal/mol of atoms
ρ: 17.2 g/cm³
Space group: No. 139
ΔH_f (0 K): 0.25 eV/f.u.

=====

Entry 5:
Zr6Os7 | GGA-PBE | optimized geometry

```
Zr6Os7
1.0
2.6517 1.5310 9.5835
-2.6517 1.5310 9.5835
0.0000 -3.0619 9.5835
Zr Os
6 7
Cartesian
0.0000 0.0000 1.4671
0.0000 0.0000 4.4024
0.0000 0.0000 9.6242
0.0000 0.0000 19.1262
0.0000 0.0000 24.3481
0.0000 0.0000 27.2833
-1.3535 -0.7814 12.2232
0.0000 -1.5628 16.5272
-1.3535 0.7814 16.5272
0.0000 0.0000 14.3752
1.3535 -0.7814 12.2232
0.0000 1.5628 12.2232
1.3535 0.7814 16.5272
```

Computed properties:
ρ: 13.4 g/cm³
Space group: No. 166
ΔH_f (0 K): -4.68 eV/f.u.

=====

Entry 6:
Zr3Os | GGA-PBE | optimized geometry

```
Zr3Os
1.0
3.3692 0.0000 0.0000
-1.6846 2.9178 0.0000
0.0000 0.0000 8.8825
Zr Os
3 1
Cartesian
0.0000 0.0000 0.0000
0.0000 1.9452 2.5612
0.0000 1.9452 6.3213
0.0000 0.0000 4.4412
```

Computed properties:
ρ: 8.8 g/cm³
Space group: No. 187
ΔH_f (0 K): 0.28 eV/f.u.

=====

Entry 7:
Zr3Os | GGA-PBE | optimized geometry

```
Zr3Os
1.0
6.7843 0.0000 0.0000
0.0000 6.7843 0.0000
0.0000 0.0000 6.7843
Zr Os
12 4
Cartesian
0.0000 0.0000 0.0000
0.0000 3.3922 3.3922
1.6961 1.6961 1.6961
1.6961 1.6961 5.0883
1.6961 5.0883 1.6961
1.6961 5.0883 5.0883
3.3922 0.0000 3.3922
3.3922 3.3922 0.0000
5.0883 1.6961 1.6961
5.0883 1.6961 5.0883
5.0883 5.0883 1.6961
5.0883 5.0883 5.0883
0.0000 0.0000 3.3922
0.0000 3.3922 0.0000
3.3922 0.0000 0.0000
3.3922 3.3922 3.3922
```

Computed properties:
ρ: 9.9 g/cm³
Space group: No. 225
ΔH_f (0 K): -0.58 eV/f.u.

=====

Entry 8:
ZrOs4 | GGA-PBE | optimized geometry

```
ZrOs4
1.0
3.9860 0.0000 0.0000
0.0000 3.9860 0.0000
0.0000 0.0000 11.0520
Zr Os
2 8
Cartesian
0.0000 0.0000 0.0000
1.9930 1.9930 5.5260
0.0000 0.0000 4.3542
0.0000 0.0000 6.6979
0.0000 1.9930 2.7630
0.0000 1.9930 8.2890
1.9930 0.0000 2.7630
1.9930 0.0000 8.2890
1.9930 1.9930 1.1718
1.9930 1.9930 9.8802
```

Computed properties:
Energy above the most stable polymorph in this dataset: 3.207 kcal/mol of atoms
ρ: 16.1 g/cm³
Space group: No. 139
ΔH_f (0 K): 0.88 eV/f.u.

=====

Entry 9:
ZrOs2 | GGA-PBE | optimized geometry

```
ZrOs2
1.0
5.5922 0.0000 0.0000
0.0000 4.1371 0.0000
0.0000 0.0000 8.6846
Zr Os
4 8
Cartesian
0.5986 1.0343 0.9495
2.1975 3.1028 5.2917
3.3947 1.0343 3.3928
4.9936 3.1028 7.7351
0.5367 1.0343 3.7584
0.7862 1.0343 6.4140
2.0099 3.1028 2.0717
2.2594 3.1028 8.1007
3.3328 1.0343 0.5839
3.5823 1.0343 6.6128
4.8060 3.1028 2.2706
5.0555 3.1028 4.9262
```

Computed properties:
ρ: 15.6 g/cm³
Space group: No. 62
ΔH_f (0 K): -0.28 eV/f.u.

=====

Entry 10:
ZrOs3 | GGA-PBE | optimized geometry

```
ZrOs3
1.0
3.9894 0.0000 0.0000
0.0000 3.9894 0.0000
0.0000 0.0000 3.9894
Zr Os
1 3
Cartesian
0.0000 0.0000 0.0000
0.0000 1.9947 1.9947
1.9947 0.0000 1.9947
1.9947 1.9947 0.0000
```

Computed properties:
Energy above the most stable polymorph in this dataset: 1.525 kcal/mol of atoms
ρ: 17.3 g/cm³
Space group: No. 221
ΔH_f (0 K): -0.05 eV/f.u.

=====

Entry 11:
Zr2Os | GGA-PBE | optimized geometry

```
Zr2Os
1.0
10.7026 0.0000 0.0000
0.0000 3.3743 0.0000
-2.5610 0.0000 6.4848
Zr Os
8 4
Cartesian
-0.6703 0.0000 1.8160
1.6308 1.6872 0.6824
1.1596 0.0000 5.8024
3.4606 1.6872 4.6687
4.6810 1.6872 1.8160
6.9821 0.0000 0.6824
6.5109 1.6872 5.8024
8.8119 0.0000 4.6687
0.2984 1.6872 3.8246
2.4920 0.0000 2.6602
5.6497 0.0000 3.8246
7.8433 1.6872 2.6602
```

Computed properties:
ρ: 10.6 g/cm³
Space group: No. 12
ΔH_f (0 K): -0.48 eV/f.u.

=====

Entry 12:
Zr3Os | GGA-PBE | optimized geometry

```
Zr3Os
1.0
4.3605 0.0000 0.0000
0.0000 6.0611 0.0000
0.0000 0.0000 6.2907
Zr Os
6 2
Cartesian
1.0901 0.0421 0.9630
1.0901 1.5153 3.6901
1.0901 2.9885 0.9630
3.2704 3.0727 5.3278
3.2704 4.5459 2.6006
3.2704 6.0191 5.3278
1.0901 4.5459 4.3322
3.2704 1.5153 1.9585
```

Computed properties:
ρ: 9.3 g/cm³
Space group: No. 59
ΔH_f (0 K): -0.23 eV/f.u.

=====

Entry 13:
ZrOs2 | GGA-PBE | optimized geometry

```
ZrOs2
1.0
3.9103 0.0000 0.0000
0.0000 12.5463 0.0000
0.0000 0.0000 4.0652
Zr Os
4 8
Cartesian
0.0000 1.1409 1.0163
0.0000 11.4053 3.0489
1.9552 5.1322 3.0489
1.9552 7.4141 1.0163
0.0000 3.1057 3.0489
0.0000 5.0893 1.0163
0.0000 7.4569 3.0489
0.0000 9.4406 1.0163
1.9552 1.1838 3.0489
1.9552 3.1675 1.0163
1.9552 9.3788 3.0489
1.9552 11.3625 1.0163
```

Computed properties:
ρ: 15.7 g/cm³
Space group: No. 63
ΔH_f (0 K): -0.12 eV/f.u.

=====

Entry 14:
Zr3Os | GGA-PBE | optimized geometry

```
Zr3Os
1.0
4.0248 0.0000 0.0000
0.0000 4.0248 0.0000
0.0000 0.0000 19.8233
Zr Os
12 4
Cartesian
0.0000 0.0000 2.4779
0.0000 0.0000 17.3453
0.0000 2.0124 0.0000
0.0000 2.0124 4.9558
0.0000 2.0124 9.9116
0.0000 2.0124 14.8674
2.0124 0.0000 0.0000
2.0124 0.0000 4.9558
2.0124 0.0000 9.9116
2.0124 0.0000 14.8674
2.0124 2.0124 7.4337
2.0124 2.0124 12.3896
0.0000 0.0000 7.5041
0.0000 0.0000 12.3191
2.0124 2.0124 2.4075
2.0124 2.0124 17.4157
```

Computed properties:
ρ: 9.6 g/cm³
Space group: No. 139
ΔH_f (0 K): -0.10 eV/f.u.

=====

Entry 15:
Zr2Os | GGA-PBE | optimized geometry

```
Zr2Os
1.0
6.4511 0.0000 0.0000
0.0000 6.4511 0.0000
0.0000 0.0000 6.4511
Zr Os
8 4
Cartesian
1.6128 1.6128 1.6128
1.6128 1.6128 4.8383
1.6128 4.8383 1.6128
1.6128 4.8383 4.8383
4.8383 1.6128 1.6128
4.8383 1.6128 4.8383
4.8383 4.8383 1.6128
4.8383 4.8383 4.8383
0.0000 0.0000 0.0000
0.0000 3.2256 3.2256
3.2256 0.0000 3.2256
3.2256 3.2256 0.0000
```

Computed properties:
ρ: 9.2 g/cm³
Space group: No. 225
ΔH_f (0 K): -0.64 eV/f.u.

=====

Entry 16:
Zr2Os | GGA-PBE | optimized geometry

```
Zr2Os
1.0
0.0000 6.2355 6.2355
6.2355 0.0000 6.2355
6.2355 6.2355 0.0000
Zr Os
16 8
Cartesian
0.0000 0.0000 0.0000
3.1178 3.1178 0.0000
3.1178 0.0000 3.1178
4.6766 4.6766 2.3169
4.6766 2.3169 4.6766
7.0364 4.6766 4.6766
7.7944 7.7944 5.4347
7.7944 5.4347 7.7944
10.1541 7.7944 7.7944
0.0000 3.1178 3.1178
2.3169 4.6766 4.6766
4.6766 7.0364 4.6766
4.6766 4.6766 7.0364
5.4347 7.7944 7.7944
7.7944 10.1541 7.7944
7.7944 7.7944 10.1541
9.7882 5.8006 5.8006
2.6829 2.6829 2.6829
6.6704 6.6704 2.6829
6.6704 2.6829 6.6704
5.8006 9.7882 5.8006
5.8006 5.8006 9.7882
9.7882 9.7882 9.7882
2.6829 6.6704 6.6704
```

Computed properties:
ρ: 10.2 g/cm³
Space group: No. 227
ΔH_f (0 K): -0.88 eV/f.u.

=====

Entry 17:
ZrOs2 | GGA-PBE | optimized geometry

```
ZrOs2
1.0
4.5022 0.0000 0.0000
-2.2511 3.8990 0.0000
0.0000 0.0000 2.8264
Zr Os
1 2
Cartesian
0.0000 0.0000 0.0000
0.0000 2.5993 1.9455
2.2511 1.2997 0.8809
```

Computed properties:
ρ: 15.8 g/cm³
Space group: No. 164
ΔH_f (0 K): 0.65 eV/f.u.

=====

Entry 18:
ZrOs3 | GGA-PBE | optimized geometry

```
ZrOs3
1.0
3.2977 0.0000 0.0000
0.0000 3.2977 0.0000
0.0000 0.0000 6.0116
Zr Os
1 3
Cartesian
0.0000 0.0000 0.0000
0.0000 0.0000 3.0058
1.6489 1.6489 1.6550
1.6489 1.6489 4.3566
```

Computed properties:
Energy above the most stable polymorph in this dataset: 8.672 kcal/mol of atoms
ρ: 16.8 g/cm³
Space group: No. 123
ΔH_f (0 K): 1.18 eV/f.u.

=====

Entry 19:
ZrOs2 | GGA-PBE | optimized geometry

```
ZrOs2
1.0
3.6372 0.0000 0.0000
0.0000 3.6372 0.0000
0.0000 0.0000 4.4341
Zr Os
1 2
Cartesian
0.0000 0.0000 0.0000
0.0000 1.8186 2.2170
1.8186 0.0000 2.2170
```

Computed properties:
ρ: 13.4 g/cm³
Space group: No. 123
ΔH_f (0 K): 1.32 eV/f.u.

=====

Entry 20:
ZrOs3 | GGA-PBE | optimized geometry

```
ZrOs3
1.0
8.9157 0.0000 0.0000
-4.4579 7.7212 0.0000
0.0000 0.0000 2.7850
Zr Os
3 9
Cartesian
0.0000 0.0000 0.0000
0.0000 5.1475 1.8566
4.4579 2.5737 0.9283
-2.2289 3.8606 0.0000
0.0000 2.5737 0.9283
-2.2289 6.4344 0.9283
2.2289 1.2869 1.8566
4.4579 0.0000 0.0000
2.2289 3.8606 0.0000
2.2289 6.4344 0.9283
6.6868 1.2869 1.8566
4.4578 5.1475 1.8566
```

Computed properties:
Energy above the most stable polymorph in this dataset: 8.888 kcal/mol of atoms
ρ: 17.2 g/cm³
Space group: No. 166
ΔH_f (0 K): 1.22 eV/f.u.